No. 1
This record from the Alexandria database describes an optimized crystal structure of ScZnBi. The functional is PBE.

Geometry as CIF:
```
data_ScZnBi
_chemical_formula_sum 'Sc1 Zn1 Bi1'
_symmetry_space_group_name_H-M 'P 3 m 1'
_symmetry_Int_Tables_number 156
_symmetry_space_group_name_Hall 'P 3 -2"'
_cell_length_a 4.4063
_cell_length_b 4.4063
_cell_length_c 4.1693
_cell_angle_alpha 90.00
_cell_angle_beta 90.00
_cell_angle_gamma 120.00
loop_
_atom_site_label
_atom_site_type_symbol
_atom_site_fract_x
_atom_site_fract_y
_atom_site_fract_z
Sc1 Sc 0.0000 0.0000 0.0000
Zn1 Zn 0.6667 0.3333 0.2591
Bi1 Bi 0.3333 0.6667 0.5611
```


No. 2
This record from the Alexandria database describes an optimized crystal structure of ScZnBi2. The functional is PBE.

Geometry as CIF:
```
data_ScZnBi2
_chemical_formula_sum 'Sc4 Zn4 Bi8'
_symmetry_space_group_name_H-M 'I -4 2 d'
_symmetry_Int_Tables_number 122
_symmetry_space_group_name_Hall 'I -4 2bw'
_cell_length_a 8.013
_cell_length_b 8.013
_cell_length_c 6.612
_cell_angle_alpha 90.00
_cell_angle_beta 90.00
_cell_angle_gamma 90.00
loop_
_atom_site_label
_atom_site_type_symbol
_atom_site_fract_x
_atom_site_fract_y
_atom_site_fract_z
Sc1 Sc 0.000 0.000 0.000
Zn1 Zn 0.000 0.000 0.500
Bi1 Bi 0.228 0.250 0.625
```


No. 3
# Sc2Zn2Bi, optimized geometry, DFT PBE
data_Sc2Zn2Bi
_chemical_formula_sum 'Sc4 Zn4 Bi2'
_symmetry_space_group_name_H-M 'P 4/m b m'
_symmetry_Int_Tables_number 127
_symmetry_space_group_name_Hall '-P 4 2ab'
_cell_length_a 7.155
_cell_length_b 7.155
_cell_length_c 4.129
_cell_angle_alpha 90.00
_cell_angle_beta 90.00
_cell_angle_gamma 90.00
loop_
_atom_site_label
_atom_site_type_symbol
_atom_site_fract_x
_atom_site_fract_y
_atom_site_fract_z
Sc1 Sc 0.166 0.334 0.000
Zn1 Zn 0.121 0.621 0.500
Bi1 Bi 0.000 0.000 0.500
# excess energy over the best structure of this formula in the dataset = 0 meV/atom


No. 4
# Sc2Zn2Bi, optimized geometry, DFT PBE
data_Sc2Zn2Bi
_chemical_formula_sum 'Sc4 Zn4 Bi2'
_symmetry_space_group_name_H-M 'P 4/m b m'
_symmetry_Int_Tables_number 127
_symmetry_space_group_name_Hall '-P 4 2ab'
_cell_length_a 7.855
_cell_length_b 7.855
_cell_length_c 3.593
_cell_angle_alpha 90.00
_cell_angle_beta 90.00
_cell_angle_gamma 90.00
loop_
_atom_site_label
_atom_site_type_symbol
_atom_site_fract_x
_atom_site_fract_y
_atom_site_fract_z
Sc1 Sc 0.154 0.346 0.000
Zn1 Zn 0.141 0.641 0.500
Bi1 Bi 0.000 0.000 0.000
# excess energy over the best structure of this formula in the dataset = 178 meV/atom


No. 5
# ScZn3Bi, optimized geometry, DFT PBE
data_ScZn3Bi
_chemical_formula_sum 'Sc1 Zn3 Bi1'
_symmetry_space_group_name_H-M 'P m -3 m'
_symmetry_Int_Tables_number 221
_symmetry_space_group_name_Hall '-P 4 2 3'
_cell_length_a 5.150
_cell_length_b 5.150
_cell_length_c 5.150
_cell_angle_alpha 90.00
_cell_angle_beta 90.00
_cell_angle_gamma 90.00
loop_
_atom_site_label
_atom_site_type_symbol
_atom_site_fract_x
_atom_site_fract_y
_atom_site_fract_z
Sc1 Sc 0.000 0.000 0.000
Zn1 Zn 0.000 0.000 0.500
Bi1 Bi 0.500 0.500 0.500
# excess energy over the best structure of this formula in the dataset = 0 meV/atom


No. 6
# Sc2Zn2Bi, optimized geometry, DFT PBE
data_Sc2Zn2Bi
_chemical_formula_sum 'Sc4 Zn4 Bi2'
_symmetry_space_group_name_H-M 'I 4/m m m'
_symmetry_Int_Tables_number 139
_symmetry_space_group_name_Hall '-I 4 2'
_cell_length_a 4.575
_cell_length_b 4.575
_cell_length_c 11.037
_cell_angle_alpha 90.00
_cell_angle_beta 90.00
_cell_angle_gamma 90.00
loop_
_atom_site_label
_atom_site_type_symbol
_atom_site_fract_x
_atom_site_fract_y
_atom_site_fract_z
Sc1 Sc 0.000 0.500 0.250
Zn1 Zn 0.000 0.000 0.107
Bi1 Bi 0.000 0.000 0.500
# excess energy over the best structure of this formula in the dataset = 279 meV/atom


The following total DFT energy (no corrections) values (in eV/atom) correspond, in order, to the records above: -4.0788; -3.9043; -4.1471; -3.9694; -2.1484; -3.8681.
The following calculated density values (in g/cm3) correspond, in order, to the records above: 7.56; 8.27; 6.75; 6.44; 5.47; 6.18.
The following E_form values (in eV/atom) correspond, in order, to the records above: -0.250; -0.062; -0.329; -0.151; 0.659; -0.050.